Material: Tm4MgZn3
Method: DFT, PBE-GGA
State: relaxed

a = 3.594 Å, b = 5.042 Å, c = 10.075 Å
α = 90.00°, β = 90.00°, γ = 90.00°
Fractional coordinates of all 8 atoms:
Tm: 0.000 0.000 0.000
Tm: 0.000 0.000 0.500
Tm: 0.000 0.500 0.238
Tm: 0.000 0.500 0.762
Mg: 0.500 0.500 0.500
Zn: 0.500 0.000 0.257
Zn: 0.500 0.000 0.743
Zn: 0.500 0.500 0.000

energy of formation from the pure elements	-2.13	eV/f.u.
space group	Pmmm (47)


Material: HfTi3Fe
Method: DFT, PBE-GGA
State: relaxed

a = 6.429 Å, b = 6.429 Å, c = 5.159 Å
α = 90.00°, β = 90.00°, γ = 126.72°
Fractional coordinates of all 10 atoms:
Hf: 0.091 0.909 0.750
Hf: 0.909 0.091 0.250
Ti: 0.124 0.395 0.750
Ti: 0.327 0.673 0.250
Ti: 0.395 0.124 0.250
Ti: 0.605 0.876 0.750
Ti: 0.673 0.327 0.750
Ti: 0.876 0.605 0.250
Fe: 0.500 0.500 0.000
Fe: 0.500 0.500 0.500

offset from the most stable computed form	0.00	eV per formula unit
energy of formation from the pure elements	-0.19	eV/f.u.
space group	Cmcm (63)


Material: FeSbTe2I
Method: DFT, PBE-GGA
State: relaxed

a = 5.028 Å, b = 5.028 Å, c = 5.279 Å
α = 90.00°, β = 90.00°, γ = 90.00°
Fractional coordinates of all 5 atoms:
Fe: 0.000 0.000 0.000
Sb: 0.500 0.500 0.500
Te: 0.000 0.500 0.000
Te: 0.500 0.000 0.000
I: 0.000 0.000 0.500

offset from the most stable computed form	0.02	eV per formula unit
space group	P4/mmm (123)
energy relative to the elements, uncorrected	0.406	eV/atom


Material: Nd2TmPbC
Method: DFT, PBE-GGA
State: relaxed

a = 5.145 Å, b = 5.145 Å, c = 4.850 Å
α = 90.00°, β = 90.00°, γ = 90.00°
Fractional coordinates of all 5 atoms:
Nd: 0.000 0.500 0.000
Nd: 0.500 0.000 0.000
Tm: 0.000 0.000 0.500
Pb: 0.500 0.500 0.500
C: 0.000 0.000 0.000

energy of formation from the pure elements	-2.21	eV/f.u.
space group	P4/mmm (123)